Compound: ScPaCoO6
Source: Alexandria via LeMat-Bulk
Functional: GGA+U
Structure: optimized geometry

Results
Density = 6.597 g cm⁻³
Uncorrected energy = -73.58 eV per cell

abc: 5.1126 5.1126 4.7916
angles: 90.00 90.00 120.00
Fractional coordinates of all 9 atoms:
Sc 0.0000 0.0000 0.0000
Pa 0.6667 0.3333 0.5000
Co 0.3333 0.6667 0.0000
O 0.0263 0.3614 0.2283
O 0.0263 0.6649 0.7717
O 0.3351 0.3614 0.7717
O 0.3351 0.9737 0.2283
O 0.6386 0.6649 0.2283
O 0.6386 0.9737 0.7717